# KNaSm2Br8, relaxed, DFT PBE
# DOS(E_F) = 0.00 states/eV per cell
# Density = 3.8 Mg/m³
# Total moment = 0.000 μB/f.u.
# Calculated total energy = -3.845 eV per atom
data_KNaSm2Br8
_cell_length_a 7.5958
_cell_length_b 7.5958
_cell_length_c 8.6973
_cell_angle_alpha 90.00
_cell_angle_beta 90.00
_cell_angle_gamma 120.00
_symmetry_space_group_name_H-M 'P -3'
_symmetry_Int_Tables_number 147
loop_
_symmetry_equiv_pos_as_xyz
'x,y,z'
'-x,-y,-z'
'-y,x-y,z'
'y,-x+y,-z'
'-x+y,-x,z'
'x-y,x,-z'
loop_
_atom_site_label
_atom_site_type_symbol
_atom_site_fract_x
_atom_site_fract_y
_atom_site_fract_z
K1 K 0.0000 0.0000 0.0000
Na1 Na 0.0000 0.0000 0.5000
Sm1 Sm 0.3333 0.6667 0.4065
Br1 Br 0.0628 0.3692 0.6555
Br2 Br 0.3333 0.6667 0.0892